First-principles (PBE) data for crystalline Nd2H2BrCl3 at its relaxed geometry, as listed in OQMD.

a b c (Å): 3.9415 3.9415 14.0704
angles (deg): 90.00 90.00 120.00
With the nearest neighbours (Å) after each atom.
Atoms (fractional coordinates):
Nd1 0.0000 0.0000 0.0000  3 H 2.28
Nd2 0.0000 0.0000 0.4951  3 H 2.28
H1 0.3333 0.6667 0.9983  3 Nd 2.28
H2 0.6667 0.3333 0.4954  3 Nd 2.28
Br1 0.6667 0.3333 0.8597  3 H 3.00, 3 Nd 3.01
Cl1 0.3333 0.6667 0.3689  3 Nd 2.89, 3 H 2.89
Cl2 0.3333 0.6667 0.6214  3 H 2.89, 3 Nd 2.89
Cl3 0.6667 0.3333 0.1255  3 Nd 2.88, 3 H 2.90

The space-group type is P3m1 (156).

***

First-principles (PBE) data for crystalline NdHBrCl at its relaxed geometry, as listed in OQMD.

a b c (Å): 3.9573 3.9573 14.4909
angles (deg): 90.00 90.00 120.00
With the nearest neighbours (Å) after each atom.
Atoms (fractional coordinates):
Nd1 0.0000 0.0000 0.0000  3 H 2.28
Nd2 0.0000 0.0000 0.5000  3 H 2.28
H1 0.3333 0.6667 0.0000  3 Nd 2.28
H2 0.6667 0.3333 0.5000  3 Nd 2.28
Br1 0.6667 0.3333 0.1351  3 Nd 3.01, 3 H 3.01
Br2 0.6667 0.3333 0.8649  3 Nd 3.01, 3 H 3.01
Cl1 0.3333 0.6667 0.3782  3 Nd 2.89, 3 H 2.89
Cl2 0.3333 0.6667 0.6218  3 Nd 2.89, 3 H 2.89

The space-group type is P-6m2 (187).

***

| no. | calculated total energy (eV/atom) |
| --- | --- |
| 1 | -4.645 |
| 2 | -4.564 |